Below is Li3NdNp2Se6 after structural relaxation, with properties calculated at the PBE-GGA level.

Properties
- Spin magnetization: 16.0 μB per cell
- E_form (uncorrected): -1341 meV/atom
- E: -6.116 eV per atom

Structure (CIF):
```
data_Li3NdNp2Se6
_chemical_formula_sum 'Li6 Nd2 Np4 Se12'
_space_group_name_H-M_alt 'C 1 2/m 1'
_space_group_IT_number 12
_cell_length_a 7.162
_cell_length_b 12.403
_cell_length_c 6.922
_cell_angle_alpha 90.00
_cell_angle_beta 110.20
_cell_angle_gamma 90.00
loop_
_space_group_symop_operation_xyz
'x,y,z'
'-x,-y,-z'
'-x,y,-z'
'x,-y,z'
'x+1/2,y+1/2,z'
'-x+1/2,-y+1/2,-z'
'-x+1/2,y+1/2,-z'
'x+1/2,-y+1/2,z'
loop_
_atom_site_label
_atom_site_fract_x
_atom_site_fract_y
_atom_site_fract_z
Li1 0.000 0.000 0.000
Li2 0.000 0.333 0.000
Nd1 0.000 0.500 0.500
Np1 0.000 0.166 0.500
Se1 0.244 0.171 0.243
Se2 0.246 0.000 0.759
```